1.
The following is a DFT calculation (PBE) of LiAg6Ge after structural relaxation. Values from VASP.

Cell and atoms, written as Quantum ESPRESSO input:
```
&SYSTEM
  ibrav = 0, nat = 8, ntyp = 3
/
ATOMIC_SPECIES
Ag 107.87 Ag.upf
Ge 72.64 Ge.upf
Li 6.94 Li.upf
CELL_PARAMETERS angstrom
-4.580 -1.141 -2.772
2.726 -3.108 -3.588
-0.886 -4.518 2.960
ATOMIC_POSITIONS angstrom
Ag -2.198 -1.905 -1.623
Ag -0.542 -6.863 -1.777
Ag 0.575 -2.651 -1.932
Ag -1.944 -5.581 -3.953
Ag -0.796 -3.186 0.553
Ge -1.370 -4.384 -1.700
Li 0.000 0.000 0.000
Ag -3.314 -6.116 -1.468
```

Computed properties:
Total moment = 0.00 μB/cell
Symmetry = No. 166
Density of states at the Fermi level = 0.310 states/eV per atom
Energy above the lowest structure with this stoichiometry = 253 meV per atom
ΔH_f (0 K) = 0.241 eV per atom

2.
The following is a DFT calculation (PBE) of BaSr3Al after structural relaxation. Values from VASP.

Cell and atoms, written as Quantum ESPRESSO input:
```
&SYSTEM
  ibrav = 0, nat = 5, ntyp = 3
/
ATOMIC_SPECIES
Sr 87.62 Sr.upf
Al 26.98 Al.upf
Ba 137.33 Ba.upf
CELL_PARAMETERS angstrom
-1.220 -6.180 1.272
5.919 -0.672 2.411
-2.186 1.629 5.819
ATOMIC_POSITIONS angstrom
Sr -0.610 -3.090 0.636
Sr 2.959 -0.336 1.206
Sr -1.093 0.815 2.910
Al 0.000 0.000 0.000
Ba 1.257 -2.611 4.751
```

Computed properties:
Total moment = 0.00 μB/cell
Symmetry = No. 221
Density of states at the Fermi level = 1.059 states/eV per atom
Energy above the lowest structure with this stoichiometry = 0 meV per atom
ΔH_f (0 K) = 0.060 eV per atom

3.
The following is a DFT calculation (PBE) of Zr2CdNiSn after structural relaxation. Values from VASP.

Cell and atoms, written as Quantum ESPRESSO input:
```
&SYSTEM
  ibrav = 0, nat = 5, ntyp = 4
/
ATOMIC_SPECIES
Sn 118.71 Sn.upf
Ni 58.69 Ni.upf
Cd 112.41 Cd.upf
Zr 91.22 Zr.upf
CELL_PARAMETERS angstrom
5.344 0.000 0.000
0.000 5.049 0.000
0.000 0.000 5.344
ATOMIC_POSITIONS angstrom
Sn 0.000 0.000 0.000
Ni 2.672 2.525 2.672
Cd 0.000 2.525 0.000
Zr 0.000 0.000 2.672
Zr 2.672 0.000 0.000
```

Computed properties:
Total moment = 0.00 μB/cell
Symmetry = No. 123
Density of states at the Fermi level = 1.259 states/eV per atom
ΔH_f (0 K) = 1.222 eV per atom

4.
The following is a DFT calculation (PBE) of La4Tb2Dy2Er after structural relaxation. Values from VASP.

Cell and atoms, written as Quantum ESPRESSO input:
```
&SYSTEM
  ibrav = 0, nat = 9, ntyp = 4
/
ATOMIC_SPECIES
Tb 158.93 Tb.upf
La 138.91 La.upf
Er 167.26 Er.upf
Dy 162.50 Dy.upf
CELL_PARAMETERS angstrom
-1.129 -3.068 -1.608
4.762 -3.551 7.560
-7.484 0.234 4.811
ATOMIC_POSITIONS angstrom
Tb 0.239 -5.412 6.034
La -2.556 -2.015 1.514
Er 0.000 0.000 0.000
La -1.295 -4.370 9.250
La -0.578 -2.190 4.586
La -3.273 -4.195 6.177
Dy 2.791 -3.402 4.531
Tb -4.090 -0.973 4.730
Dy -6.642 -2.984 6.232
```

Computed properties:
Total moment = 0.00 μB/cell
Symmetry = No. 12
Density of states at the Fermi level = 1.744 states/eV per atom
ΔH_f (0 K) = 0.029 eV per atom

5.
The following is a DFT calculation (PBE) of Al2SiIN after structural relaxation. Values from VASP.

Cell and atoms, written as Quantum ESPRESSO input:
```
&SYSTEM
  ibrav = 0, nat = 5, ntyp = 4
/
ATOMIC_SPECIES
Al 26.98 Al.upf
I 126.90 I.upf
Si 28.09 Si.upf
N 14.01 N.upf
CELL_PARAMETERS angstrom
5.417 0.000 0.000
0.000 3.944 0.000
0.000 0.000 5.417
ATOMIC_POSITIONS angstrom
Al 0.000 0.000 2.709
I 0.000 0.000 0.000
Al 2.709 0.000 0.000
Si 2.709 1.972 2.709
N 0.000 1.972 0.000
```

Computed properties:
Total moment = 0.00 μB/cell
Symmetry = No. 123
Density of states at the Fermi level = 0.760 states/eV per atom
E_form (uncorrected) = 1590 meV per atom

6.
The following is a DFT calculation (PBE) of Ho4Co2Ir after structural relaxation. Values from VASP.

Cell and atoms, written as Quantum ESPRESSO input:
```
&SYSTEM
  ibrav = 0, nat = 14, ntyp = 3
/
ATOMIC_SPECIES
Co 58.93 Co.upf
Ho 164.93 Ho.upf
Ir 192.22 Ir.upf
CELL_PARAMETERS angstrom
7.260 -1.247 -0.252
-1.767 7.152 0.251
-2.705 -2.987 5.998
ATOMIC_POSITIONS angstrom
Co 2.921 1.402 1.855
Co 5.270 2.263 -0.055
Ho 4.100 0.964 4.347
Ho 0.775 1.318 4.188
Ho 4.044 3.782 1.809
Co -1.517 0.025 4.141
Ho 5.219 -0.080 1.399
Ho 3.411 -2.569 4.047
Co -0.827 2.435 6.051
Ho 1.742 -1.019 1.699
Ir -0.946 3.469 3.124
Ho 0.777 2.907 0.906
Ho 0.136 -2.004 5.091
Ir 2.577 2.690 5.996
```

Computed properties:
Total moment = 0.00 μB/cell
Symmetry = No. 5
Density of states at the Fermi level = 0.631 states/eV per atom
ΔH_f (0 K) = -0.336 eV per atom

7.
The following is a DFT calculation (PBE) of YN after structural relaxation. Values from VASP.

Cell and atoms, written as Quantum ESPRESSO input:
```
&SYSTEM
  ibrav = 0, nat = 8, ntyp = 2
/
ATOMIC_SPECIES
N 14.01 N.upf
Y 88.91 Y.upf
CELL_PARAMETERS angstrom
-2.275 -1.874 2.123
2.202 -5.339 -2.353
3.724 -0.160 3.849
ATOMIC_POSITIONS angstrom
N 2.400 -0.103 2.480
Y 0.565 -1.370 -0.604
N 3.150 -3.744 3.177
Y 1.637 -3.969 -1.749
N 1.324 -0.057 1.368
Y 2.391 -5.057 1.205
N 0.502 -3.630 0.440
Y 1.260 -2.316 2.413
```

Computed properties:
Total moment = 0.00 μB/cell
Symmetry = No. 71
Density of states at the Fermi level = 0.346 states/eV per atom
E_form (uncorrected) = -679 meV per atom

8.
The following is a DFT calculation (PBE) of Ca4InGa3 after structural relaxation. Values from VASP.

Cell and atoms, written as Quantum ESPRESSO input:
```
&SYSTEM
  ibrav = 0, nat = 8, ntyp = 3
/
ATOMIC_SPECIES
Ga 69.72 Ga.upf
Ca 40.08 Ca.upf
In 114.82 In.upf
CELL_PARAMETERS angstrom
4.153 0.000 0.000
0.000 4.525 0.000
0.000 0.000 11.641
ATOMIC_POSITIONS angstrom
Ga 0.000 2.262 6.615
Ca 2.077 2.262 4.202
Ca 0.000 2.262 9.859
Ca 0.000 0.000 1.777
Ga 2.077 0.000 10.756
Ga 0.000 0.000 5.052
In 2.077 2.262 0.807
Ca 2.077 0.000 7.497
```

Computed properties:
Total moment = 0.00 μB/cell
Symmetry = No. 25
Density of states at the Fermi level = 0.610 states/eV per atom
ΔH_f (0 K) = -0.447 eV per atom

9.
The following is a DFT calculation (PBE) of In2SeBr after structural relaxation. Values from VASP.

Cell and atoms, written as Quantum ESPRESSO input:
```
&SYSTEM
  ibrav = 0, nat = 4, ntyp = 3
/
ATOMIC_SPECIES
In 114.82 In.upf
Br 79.90 Br.upf
Se 78.96 Se.upf
CELL_PARAMETERS angstrom
7.662 0.061 0.000
5.278 5.554 0.000
-6.470 -2.808 2.994
ATOMIC_POSITIONS angstrom
In 3.831 0.030 1.497
In 0.000 0.000 0.000
Br 2.639 2.777 1.497
Se 6.470 2.808 0.000
```

Computed properties:
Total moment = 0.00 μB/cell
Symmetry = No. 119
Density of states at the Fermi level = 0.362 states/eV per atom
E_form (uncorrected) = -308 meV per atom
Energy above the lowest structure with this stoichiometry = 167 meV per atom

10.
The following is a DFT calculation (PBE) of YCrIr2 after structural relaxation. Values from VASP.

Cell and atoms, written as Quantum ESPRESSO input:
```
&SYSTEM
  ibrav = 0, nat = 4, ntyp = 3
/
ATOMIC_SPECIES
Y 88.91 Y.upf
Cr 52.00 Cr.upf
Ir 192.22 Ir.upf
CELL_PARAMETERS angstrom
0.000 3.256 3.256
3.256 0.000 3.256
3.256 3.256 0.000
ATOMIC_POSITIONS angstrom
Y 3.256 3.256 3.256
Cr 0.000 0.000 0.000
Ir 1.628 1.628 1.628
Ir 4.884 4.884 4.884
```

Computed properties:
Total moment = 3.23 μB/cell
Symmetry = No. 225
Density of states at the Fermi level = 2.075 states/eV per atom
Energy above the lowest structure with this stoichiometry = 138 meV per atom
ΔH_f (0 K) = -0.148 eV per atom

11.
The following is a DFT calculation (PBE) of GaGe2P2 after structural relaxation. Values from VASP.

Cell and atoms, written as Quantum ESPRESSO input:
```
&SYSTEM
  ibrav = 0, nat = 5, ntyp = 3
/
ATOMIC_SPECIES
Ge 72.64 Ge.upf
Ga 69.72 Ga.upf
P 30.97 P.upf
CELL_PARAMETERS angstrom
4.749 0.000 0.000
0.000 4.749 0.000
2.374 2.374 4.248
ATOMIC_POSITIONS angstrom
Ge 2.374 2.374 1.281
Ga 0.000 0.000 0.000
P 4.749 2.374 2.124
Ge 4.749 4.749 2.966
P 2.374 4.749 2.124
```

Computed properties:
Total moment = 0.00 μB/cell
Symmetry = No. 139
Density of states at the Fermi level = 0.396 states/eV per atom
ΔH_f (0 K) = 0.217 eV per atom

12.
The following is a DFT calculation (PBE) of Ni8PtW2 after structural relaxation. Values from VASP.

Cell and atoms, written as Quantum ESPRESSO input:
```
&SYSTEM
  ibrav = 0, nat = 11, ntyp = 3
/
ATOMIC_SPECIES
Ni 58.69 Ni.upf
Pt 195.08 Pt.upf
W 183.84 W.upf
CELL_PARAMETERS angstrom
-0.058 -2.637 -3.517
1.464 -6.441 -0.700
-5.251 -4.713 0.869
ATOMIC_POSITIONS angstrom
Ni -3.360 -7.854 -2.312
Pt -0.029 -1.319 -1.759
Ni -1.290 -3.935 -2.532
Ni -1.004 -8.368 -1.962
Ni 0.716 -3.870 -1.224
Ni -0.486 -5.937 -1.037
Ni -2.841 -5.423 -1.387
W -1.444 -3.764 0.093
Ni -2.556 -9.857 -0.817
W -2.343 -7.391 0.075
Ni 0.690 -5.209 -2.993
```

Computed properties:
Total moment = 0.00 μB/cell
Symmetry = No. 12
Density of states at the Fermi level = 0.827 states/eV per atom
Energy above the lowest structure with this stoichiometry = 175 meV per atom
ΔH_f (0 K) = 0.080 eV per atom

13.
The following is a DFT calculation (PBE) of Ce5Hg2Ru2 after structural relaxation. Values from VASP.

Cell and atoms, written as Quantum ESPRESSO input:
```
&SYSTEM
  ibrav = 0, nat = 18, ntyp = 3
/
ATOMIC_SPECIES
Ru 101.07 Ru.upf
Ce 140.12 Ce.upf
Hg 200.59 Hg.upf
CELL_PARAMETERS angstrom
-0.865 8.113 2.263
-6.073 0.220 -3.111
-0.165 -6.487 7.353
ATOMIC_POSITIONS angstrom
Ru -3.327 -1.387 2.597
Ce -1.140 -4.565 6.760
Ru -2.675 4.138 -0.017
Ru -0.784 3.125 5.441
Hg -5.841 -1.373 4.132
Ru -5.278 0.191 -2.704
Ce -4.114 2.580 1.756
Ce -2.024 6.268 1.763
Hg -3.687 0.002 0.024
Ce -4.993 5.738 0.030
Ce -4.915 -2.844 1.276
Ce -0.824 0.084 2.645
Ce -5.443 1.732 4.289
Hg -1.004 3.210 2.505
Ce -2.696 4.708 4.969
Hg -3.158 1.834 6.613
Ce -4.244 -3.815 5.383
Ce -2.152 -0.764 5.178
```

Computed properties:
Total moment = 7.24 μB/cell
Symmetry = No. 46
Density of states at the Fermi level = 2.645 states/eV per atom
Energy above the lowest structure with this stoichiometry = 121 meV per atom
ΔH_f (0 K) = -0.184 eV per atom

14.
The following is a DFT calculation (PBE) of La2PrAu after structural relaxation. Values from VASP.

Cell and atoms, written as Quantum ESPRESSO input:
```
&SYSTEM
  ibrav = 0, nat = 4, ntyp = 3
/
ATOMIC_SPECIES
Au 196.97 Au.upf
La 138.91 La.upf
Pr 140.91 Pr.upf
CELL_PARAMETERS angstrom
-3.065 -2.260 -1.036
-2.161 -1.788 2.777
-7.843 6.717 1.027
ATOMIC_POSITIONS angstrom
Au -11.323 4.013 2.187
La -3.005 0.321 0.673
La -6.573 5.038 0.934
Pr -6.546 1.349 1.384
```

Computed properties:
Total moment = 0.00 μB/cell
Symmetry = No. 160
Density of states at the Fermi level = 1.177 states/eV per atom
Energy above the lowest structure with this stoichiometry = 141 meV per atom
ΔH_f (0 K) = -0.275 eV per atom

15.
The following is a DFT calculation (PBE) of GaTeSe2 after structural relaxation. Values from VASP.

Cell and atoms, written as Quantum ESPRESSO input:
```
&SYSTEM
  ibrav = 0, nat = 4, ntyp = 3
/
ATOMIC_SPECIES
Te 127.60 Te.upf
Se 78.96 Se.upf
Ga 69.72 Ga.upf
CELL_PARAMETERS angstrom
0.000 3.563 3.563
3.563 0.000 3.563
3.563 3.563 0.000
ATOMIC_POSITIONS angstrom
Te 3.563 3.563 3.563
Se 1.782 1.782 1.782
Ga 0.000 0.000 0.000
Se 5.345 5.345 5.345
```

Computed properties:
Total moment = 0.00 μB/cell
Symmetry = No. 225
Density of states at the Fermi level = 0.521 states/eV per atom
E_form (uncorrected) = 188 meV per atom
Energy above the lowest structure with this stoichiometry = 510 meV per atom

16.
The following is a DFT calculation (PBE) of CuTePd3 after structural relaxation. Values from VASP.

Cell and atoms, written as Quantum ESPRESSO input:
```
&SYSTEM
  ibrav = 0, nat = 20, ntyp = 3
/
ATOMIC_SPECIES
Pd 106.42 Pd.upf
Te 127.60 Te.upf
Cu 63.55 Cu.upf
CELL_PARAMETERS angstrom
4.953 0.000 0.000
0.000 7.546 0.721
0.000 -0.178 9.138
ATOMIC_POSITIONS angstrom
Pd 0.247 2.033 1.638
Pd 0.477 5.109 5.353
Pd 2.748 0.647 2.298
Pd 2.229 1.944 6.207
Te 1.950 2.741 3.620
Te 0.527 2.652 8.189
Cu 3.715 7.330 0.742
Pd 1.999 5.198 0.784
Cu 3.715 7.241 5.311
Cu 1.239 0.128 4.548
Pd 2.724 5.424 3.652
Pd 4.683 0.558 6.867
Pd 0.271 6.811 2.992
Te 3.004 4.627 6.240
Pd 4.706 5.335 8.221
Pd 2.206 6.722 7.561
Cu 1.238 0.039 9.117
Te 4.426 4.716 1.671
Pd 4.476 2.259 4.506
Pd 2.954 2.170 9.075
```

Computed properties:
Total moment = 0.00 μB/cell
Symmetry = No. 14
Density of states at the Fermi level = 0.579 states/eV per atom
E_form (uncorrected) = -154 meV per atom
Energy above the lowest structure with this stoichiometry = 34 meV per atom

17.
The following is a DFT calculation (PBE) of AcTm3Hg2 after structural relaxation. Values from VASP.

Cell and atoms, written as Quantum ESPRESSO input:
```
&SYSTEM
  ibrav = 0, nat = 12, ntyp = 3
/
ATOMIC_SPECIES
Ac 227.00 Ac.upf
Tm 168.93 Tm.upf
Hg 200.59 Hg.upf
CELL_PARAMETERS angstrom
-0.763 4.774 2.277
-1.900 -6.494 6.709
8.296 2.406 -2.266
ATOMIC_POSITIONS angstrom
Ac 5.626 1.591 4.820
Tm 4.988 3.161 1.313
Hg 0.997 2.761 0.817
Ac 0.007 -0.905 1.899
Tm 2.064 1.738 3.318
Hg 5.797 0.168 1.588
Tm 0.646 -2.475 5.406
Hg 4.636 -2.075 5.903
Tm 2.528 0.237 6.622
Hg -0.163 0.518 5.131
Tm 3.570 -1.052 3.402
Tm 3.105 0.449 0.098
```

Computed properties:
Total moment = 0.01 μB/cell
Symmetry = No. 12
Density of states at the Fermi level = 0.998 states/eV per atom
ΔH_f (0 K) = -0.247 eV per atom

18.
The following is a DFT calculation (PBE) of Pb2W after structural relaxation. Values from VASP.

Cell and atoms, written as Quantum ESPRESSO input:
```
&SYSTEM
  ibrav = 0, nat = 6, ntyp = 2
/
ATOMIC_SPECIES
Pb 207.20 Pb.upf
W 183.84 W.upf
CELL_PARAMETERS angstrom
4.144 -1.882 3.327
5.545 -0.908 0.455
4.088 6.957 4.353
ATOMIC_POSITIONS angstrom
Pb 12.436 2.000 6.746
Pb 3.685 -0.231 1.720
Pb 10.091 4.398 6.415
Pb 1.341 2.167 1.389
W 5.147 3.206 3.598
W 8.630 0.962 4.537
```

Computed properties:
Total moment = 0.00 μB/cell
Symmetry = No. 12
Density of states at the Fermi level = 0.598 states/eV per atom
Energy above the lowest structure with this stoichiometry = 0 meV per atom
ΔH_f (0 K) = 0.582 eV per atom

19.
The following is a DFT calculation (PBE) of CaPu4Pb5 after structural relaxation. Values from VASP.

Cell and atoms, written as Quantum ESPRESSO input:
```
&SYSTEM
  ibrav = 0, nat = 10, ntyp = 3
/
ATOMIC_SPECIES
Pb 207.20 Pb.upf
Pu 244.00 Pu.upf
Ca 40.08 Ca.upf
CELL_PARAMETERS angstrom
3.465 0.000 0.000
0.000 3.465 0.000
0.000 0.000 23.541
ATOMIC_POSITIONS angstrom
Pb 1.733 1.733 16.470
Pu 0.000 0.000 14.101
Pu 0.000 0.000 9.440
Ca 0.000 0.000 0.000
Pu 0.000 0.000 4.712
Pu 0.000 0.000 18.829
Pb 1.733 1.733 7.071
Pb 1.733 1.733 2.366
Pb 1.733 1.733 11.771
Pb 1.733 1.733 21.175
```

Computed properties:
Total moment = 0.12 μB/cell
Symmetry = No. 123
Density of states at the Fermi level = 3.018 states/eV per atom
ΔH_f (0 K) = -0.237 eV per atom

20.
The following is a DFT calculation (PBE) of Y3CdO after structural relaxation. Values from VASP.

Cell and atoms, written as Quantum ESPRESSO input:
```
&SYSTEM
  ibrav = 0, nat = 10, ntyp = 3
/
ATOMIC_SPECIES
Y 88.91 Y.upf
O 16.00 O.upf
Cd 112.41 Cd.upf
CELL_PARAMETERS angstrom
-2.223 2.450 4.157
-4.576 0.380 -2.671
-6.741 -8.849 5.007
ATOMIC_POSITIONS angstrom
Y -7.114 -0.359 1.571
Y -4.712 -2.617 2.418
O -6.806 -4.411 5.751
Y -9.374 -5.957 1.894
Cd -7.358 -3.527 1.539
Y -6.990 -6.156 3.286
Y -8.828 -3.402 4.074
Cd 0.000 0.000 0.000
Y -5.956 -1.636 -0.595
O -5.557 -0.572 4.156
```

Computed properties:
Total moment = 0.00 μB/cell
Symmetry = No. 119
Density of states at the Fermi level = 0.868 states/eV per atom
E_form (uncorrected) = 184 meV per atom
Energy above the lowest structure with this stoichiometry = 1521 meV per atom